The following is a DFT calculation (PBE) of a relaxed AlZn2P crystal.

Structure (CIF):
```
data_AlZn2P
_chemical_formula_sum 'Al1 Zn2 P1'
_space_group_name_H-M_alt 'P m m m'
_space_group_IT_number 47
_cell_length_a 2.769
_cell_length_b 4.332
_cell_length_c 5.267
_cell_angle_alpha 90.00
_cell_angle_beta 90.00
_cell_angle_gamma 90.00
loop_
_space_group_symop_operation_xyz
'x,y,z'
'-x,-y,-z'
'-x,-y,z'
'x,y,-z'
'x,-y,-z'
'-x,y,z'
'-x,y,-z'
'x,-y,z'
loop_
_atom_site_label
_atom_site_fract_x
_atom_site_fract_y
_atom_site_fract_z
Al1 0.000 0.000 0.000
Zn1 0.500 0.500 0.249
P1 0.000 0.000 0.500
```

## Properties
Spin magnetization in μB per formula unit: 0.00
D(E_F) in states/eV/cell: 0.8
Formation energy from the elements in eV/f.u.: 0.75

---

The following is a DFT calculation (PBE) of a relaxed AlZnP crystal.

Structure (CIF):
```
data_AlZnP
_chemical_formula_sum 'Al4 Zn4 P4'
_space_group_name_H-M_alt 'F m m 2'
_space_group_IT_number 42
_space_group_name_Hall 'F 2 -2'
_cell_length_a 3.790
_cell_length_b 4.664
_cell_length_c 10.899
_cell_angle_alpha 90.00
_cell_angle_beta 90.00
_cell_angle_gamma 90.00
loop_
_atom_site_label
_atom_site_fract_x
_atom_site_fract_y
_atom_site_fract_z
Al1 0.000 0.000 0.000
Zn1 0.000 0.000 0.321
P1 0.000 0.000 0.652
```

## Properties
Spin magnetization in μB per formula unit: 0.00
D(E_F) in states/eV/cell: 5.6
Formation energy from the elements in eV/f.u.: 0.58

---

The following is a DFT calculation (PBE) of a relaxed AlZn2P crystal.

Structure (CIF):
```
data_AlZn2P
_chemical_formula_sum 'Al1 Zn2 P1'
_space_group_name_H-M_alt 'P 4/m m m'
_space_group_IT_number 123
_space_group_name_Hall '-P 4 2'
_cell_length_a 2.851
_cell_length_b 2.851
_cell_length_c 7.771
_cell_angle_alpha 90.00
_cell_angle_beta 90.00
_cell_angle_gamma 90.00
loop_
_atom_site_label
_atom_site_fract_x
_atom_site_fract_y
_atom_site_fract_z
Al1 0.000 0.000 0.000
Zn1 0.500 0.500 0.249
P1 0.000 0.000 0.500
```

## Properties
Spin magnetization in μB per formula unit: 0.00
D(E_F) in states/eV/cell: 0.4
Formation energy from the elements in eV/f.u.: 0.79

---

The following is a DFT calculation (PBE) of a relaxed Al4Zn3P2 crystal.

Structure (CIF):
```
data_Al4Zn3P2
_chemical_formula_sum 'Al16 Zn12 P8'
_space_group_name_H-M_alt 'C m c m'
_space_group_IT_number 63
_space_group_name_Hall '-C 2c 2'
_cell_length_a 4.648
_cell_length_b 9.165
_cell_length_c 14.663
_cell_angle_alpha 90.00
_cell_angle_beta 90.00
_cell_angle_gamma 90.00
loop_
_atom_site_label
_atom_site_fract_x
_atom_site_fract_y
_atom_site_fract_z
Al1 0.000 0.036 0.087
Al2 0.000 0.362 0.046
Zn1 0.000 0.158 0.250
Zn2 0.246 0.408 0.250
P1 0.000 0.250 0.610
```

## Properties
Spin magnetization in μB per formula unit: 0.00
D(E_F) in states/eV/cell: 11.7
Formation energy from the elements in eV/f.u.: 1.64

---

The following is a DFT calculation (PBE) of a relaxed AlZnP crystal.

Structure (CIF):
```
data_AlZnP
_chemical_formula_sum 'Al2 Zn2 P2'
_space_group_name_H-M_alt 'C 1 m 1'
_space_group_IT_number 8
_cell_length_a 8.733
_cell_length_b 3.449
_cell_length_c 3.482
_cell_angle_alpha 90.00
_cell_angle_beta 93.92
_cell_angle_gamma 90.00
loop_
_space_group_symop_operation_xyz
'x,y,z'
'x,-y,z'
'x+1/2,y+1/2,z'
'x+1/2,-y+1/2,z'
loop_
_atom_site_label
_atom_site_fract_x
_atom_site_fract_y
_atom_site_fract_z
Al1 0.000 0.000 0.000
Zn1 0.217 0.500 0.378
P1 0.432 0.000 0.501
```

## Properties
Spin magnetization in μB per formula unit: 0.00
D(E_F) in states/eV/cell: 1.9
Formation energy from the elements in eV/f.u.: 0.18

---

The following is a DFT calculation (PBE) of a relaxed AlZn2P crystal.

Structure (CIF):
```
data_AlZn2P
_chemical_formula_sum 'Al4 Zn8 P4'
_space_group_name_H-M_alt 'F m m m'
_space_group_IT_number 69
_space_group_name_Hall '-F 2 2'
_cell_length_a 5.012
_cell_length_b 5.234
_cell_length_c 9.987
_cell_angle_alpha 90.00
_cell_angle_beta 90.00
_cell_angle_gamma 90.00
loop_
_atom_site_label
_atom_site_fract_x
_atom_site_fract_y
_atom_site_fract_z
Al1 0.000 0.000 0.000
Zn1 0.250 0.000 0.250
P1 0.000 0.000 0.500
```

## Properties
Spin magnetization in μB per formula unit: 0.00
D(E_F) in states/eV/cell: 7.0
Formation energy from the elements in eV/f.u.: 0.24

---

The following is a DFT calculation (PBE) of a relaxed AlZn2P crystal.

Structure (CIF):
```
data_AlZn2P
_chemical_formula_sum 'Al4 Zn8 P4'
_space_group_name_H-M_alt 'I -4 2 d'
_space_group_IT_number 122
_space_group_name_Hall 'I -4 2bw'
_cell_length_a 6.223
_cell_length_b 6.223
_cell_length_c 8.888
_cell_angle_alpha 90.00
_cell_angle_beta 90.00
_cell_angle_gamma 90.00
loop_
_atom_site_label
_atom_site_fract_x
_atom_site_fract_y
_atom_site_fract_z
Al1 0.000 0.000 0.000
Zn1 0.210 0.250 0.625
P1 0.000 0.000 0.500
```

## Properties
Spin magnetization in μB per formula unit: 0.00
D(E_F) in states/eV/cell: 1.8
Formation energy from the elements in eV/f.u.: 0.99

---

The following is a DFT calculation (PBE) of a relaxed AlZnP crystal.

Structure (CIF):
```
data_AlZnP
_chemical_formula_sum 'Al4 Zn4 P4'
_space_group_name_H-M_alt 'F -4 3 m'
_space_group_IT_number 216
_space_group_name_Hall 'F -4 2 3'
_cell_length_a 6.063
_cell_length_b 6.063
_cell_length_c 6.063
_cell_angle_alpha 90.00
_cell_angle_beta 90.00
_cell_angle_gamma 90.00
loop_
_atom_site_label
_atom_site_fract_x
_atom_site_fract_y
_atom_site_fract_z
Al1 0.000 0.000 0.000
Zn1 0.000 0.000 0.500
P1 0.250 0.250 0.250
```

## Properties
Spin magnetization in μB per formula unit: 0.00
D(E_F) in states/eV/cell: 7.9
Formation energy from the elements in eV/f.u.: 0.49

---

The following is a DFT calculation (PBE) of a relaxed AlZn2P crystal.

Structure (CIF):
```
data_AlZn2P
_chemical_formula_sum 'Al2 Zn4 P2'
_space_group_name_H-M_alt 'C 1 m 1'
_space_group_IT_number 8
_cell_length_a 9.147
_cell_length_b 2.779
_cell_length_c 5.027
_cell_angle_alpha 90.00
_cell_angle_beta 101.44
_cell_angle_gamma 90.00
loop_
_space_group_symop_operation_xyz
'x,y,z'
'x,-y,z'
'x+1/2,y+1/2,z'
'x+1/2,-y+1/2,z'
loop_
_atom_site_label
_atom_site_fract_x
_atom_site_fract_y
_atom_site_fract_z
Al1 0.000 0.000 0.000
Zn1 0.245 0.500 0.310
Zn2 0.492 0.000 0.483
P1 0.249 0.000 0.813
```

## Properties
Spin magnetization in μB per formula unit: 0.00
D(E_F) in states/eV/cell: 1.7
Formation energy from the elements in eV/f.u.: 0.59

---

The following is a DFT calculation (PBE) of a relaxed AlZn2P crystal.

Structure (CIF):
```
data_AlZn2P
_chemical_formula_sum 'Al3 Zn6 P3'
_space_group_name_H-M_alt 'R -3 m'
_space_group_IT_number 166
_space_group_name_Hall '-R 3 2"'
_cell_length_a 2.8572
_cell_length_b 2.8572
_cell_length_c 26.7088
_cell_angle_alpha 90.00
_cell_angle_beta 90.00
_cell_angle_gamma 120.00
loop_
_atom_site_label
_atom_site_fract_x
_atom_site_fract_y
_atom_site_fract_z
Al1 0.0000 0.0000 0.0000
Zn1 0.0000 0.0000 0.2488
P1 0.0000 0.0000 0.5000
```

## Properties
Spin magnetization in μB per formula unit: 0.00
D(E_F) in states/eV/cell: 2.7
Formation energy from the elements in eV/f.u.: 0.76

---

The following is a DFT calculation (PBE) of a relaxed AlZn2P crystal.

Structure (CIF):
```
data_AlZn2P
_chemical_formula_sum 'Al3 Zn6 P3'
_space_group_name_H-M_alt 'R 3 m'
_space_group_IT_number 160
_space_group_name_Hall 'R 3 -2"'
_cell_length_a 2.8421
_cell_length_b 2.8421
_cell_length_c 26.7537
_cell_angle_alpha 90.00
_cell_angle_beta 90.00
_cell_angle_gamma 120.00
loop_
_atom_site_label
_atom_site_fract_x
_atom_site_fract_y
_atom_site_fract_z
Al1 0.0000 0.0000 0.0000
Zn1 0.0000 0.0000 0.4965
Zn2 0.0000 0.0000 0.7468
P1 0.0000 0.0000 0.2550
```

## Properties
Spin magnetization in μB per formula unit: 0.00
D(E_F) in states/eV/cell: 2.8
Formation energy from the elements in eV/f.u.: 0.68

---

The following is a DFT calculation (PBE) of a relaxed Zr2AlP2 crystal.

Structure (CIF):
```
data_Zr2AlP2
_chemical_formula_sum 'Zr4 Al2 P4'
_space_group_name_H-M_alt 'I 4/m m m'
_space_group_IT_number 139
_space_group_name_Hall '-I 4 2'
_cell_length_a 5.033
_cell_length_b 5.033
_cell_length_c 7.600
_cell_angle_alpha 90.00
_cell_angle_beta 90.00
_cell_angle_gamma 90.00
loop_
_atom_site_label
_atom_site_fract_x
_atom_site_fract_y
_atom_site_fract_z
Zr1 0.000 0.500 0.250
Al1 0.000 0.000 0.000
P1 0.000 0.000 0.347
```

## Properties
Spin magnetization in μB per formula unit: 0.00
D(E_F) in states/eV/cell: 4.6
Formation energy from the elements in eV/f.u.: -3.27

---

The following is a DFT calculation (PBE) of a relaxed ZrAlP3 crystal.

Structure (CIF):
```
data_ZrAlP3
_chemical_formula_sum 'Zr1 Al1 P3'
_space_group_name_H-M_alt 'P m -3 m'
_space_group_IT_number 221
_space_group_name_Hall '-P 4 2 3'
_cell_length_a 5.020
_cell_length_b 5.020
_cell_length_c 5.020
_cell_angle_alpha 90.00
_cell_angle_beta 90.00
_cell_angle_gamma 90.00
loop_
_atom_site_label
_atom_site_fract_x
_atom_site_fract_y
_atom_site_fract_z
Zr1 0.000 0.000 0.000
Al1 0.500 0.500 0.500
P1 0.000 0.000 0.500
```

## Properties
Spin magnetization in μB per formula unit: 0.00
D(E_F) in states/eV/cell: 6.2
Formation energy from the elements in eV/f.u.: 2.35

---

The following is a DFT calculation (PBE) of a relaxed ZrAlP crystal.

Structure (CIF):
```
data_ZrAlP
_chemical_formula_sum 'Zr2 Al2 P2'
_space_group_name_H-M_alt 'I 4 m m'
_space_group_IT_number 107
_space_group_name_Hall 'I 4 -2'
_cell_length_a 3.299
_cell_length_b 3.299
_cell_length_c 9.339
_cell_angle_alpha 90.00
_cell_angle_beta 90.00
_cell_angle_gamma 90.00
loop_
_atom_site_label
_atom_site_fract_x
_atom_site_fract_y
_atom_site_fract_z
Zr1 0.000 0.000 0.000
Al1 0.000 0.000 0.699
P1 0.000 0.000 0.332
```

## Properties
Spin magnetization in μB per formula unit: 0.00
D(E_F) in states/eV/cell: 3.9
Formation energy from the elements in eV/f.u.: -1.71

---

The following is a DFT calculation (PBE) of a relaxed Zr5AlP3 crystal.

Structure (CIF):
```
data_Zr5AlP3
_chemical_formula_sum 'Zr10 Al2 P6'
_space_group_name_H-M_alt 'P 63/m c m'
_space_group_IT_number 193
_space_group_name_Hall '-P 6c 2'
_cell_length_a 8.1392
_cell_length_b 8.1392
_cell_length_c 5.5707
_cell_angle_alpha 90.00
_cell_angle_beta 90.00
_cell_angle_gamma 120.00
loop_
_atom_site_label
_atom_site_fract_x
_atom_site_fract_y
_atom_site_fract_z
Zr1 0.0000 0.2835 0.2500
Zr2 0.3333 0.6667 0.0000
Al1 0.0000 0.0000 0.0000
P1 0.0000 0.3841 0.7500
```

## Properties
Spin magnetization in μB per formula unit: 0.00
D(E_F) in states/eV/cell: 7.0
Formation energy from the elements in eV/f.u.: -8.26

---

The following is a DFT calculation (PBE) of a relaxed ZrAlP2 crystal.

Structure (CIF):
```
data_ZrAlP2
_chemical_formula_sum 'Zr2 Al2 P4'
_space_group_name_H-M_alt 'I m m m'
_space_group_IT_number 71
_space_group_name_Hall '-I 2 2'
_cell_length_a 3.602
_cell_length_b 4.914
_cell_length_c 7.478
_cell_angle_alpha 90.00
_cell_angle_beta 90.00
_cell_angle_gamma 90.00
loop_
_atom_site_label
_atom_site_fract_x
_atom_site_fract_y
_atom_site_fract_z
Zr1 0.000 0.000 0.000
Al1 0.000 0.000 0.500
P1 0.000 0.500 0.219
```

## Properties
Spin magnetization in μB per formula unit: 0.00
D(E_F) in states/eV/cell: 2.9
Formation energy from the elements in eV/f.u.: -1.97

---

The following is a DFT calculation (PBE) of a relaxed ZrAlP3 crystal.

Structure (CIF):
```
data_ZrAlP3
_chemical_formula_sum 'Zr1 Al1 P3'
_space_group_name_H-M_alt 'P m -3 m'
_space_group_IT_number 221
_space_group_name_Hall '-P 4 2 3'
_cell_length_a 4.582
_cell_length_b 4.582
_cell_length_c 4.582
_cell_angle_alpha 90.00
_cell_angle_beta 90.00
_cell_angle_gamma 90.00
loop_
_atom_site_label
_atom_site_fract_x
_atom_site_fract_y
_atom_site_fract_z
Zr1 0.000 0.000 0.000
Al1 0.500 0.500 0.500
P1 0.000 0.500 0.500
```

## Properties
Spin magnetization in μB per formula unit: 0.00
D(E_F) in states/eV/cell: 4.0
Formation energy from the elements in eV/f.u.: 1.85

---

The following is a DFT calculation (PBE) of a relaxed Zr2Al2P crystal.

Structure (CIF):
```
data_Zr2Al2P
_chemical_formula_sum 'Zr4 Al4 P2'
_space_group_name_H-M_alt 'I 4/m m m'
_space_group_IT_number 139
_space_group_name_Hall '-I 4 2'
_cell_length_a 3.540
_cell_length_b 3.540
_cell_length_c 15.377
_cell_angle_alpha 90.00
_cell_angle_beta 90.00
_cell_angle_gamma 90.00
loop_
_atom_site_label
_atom_site_fract_x
_atom_site_fract_y
_atom_site_fract_z
Zr1 0.000 0.000 0.095
Al1 0.000 0.500 0.250
P1 0.000 0.000 0.500
```

## Properties
Spin magnetization in μB per formula unit: 0.00
D(E_F) in states/eV/cell: 10.2
Formation energy from the elements in eV/f.u.: -1.81

---

The following is a DFT calculation (PBE) of a relaxed ZrAlP4 crystal.

Structure (CIF):
```
data_ZrAlP4
_chemical_formula_sum 'Zr4 Al4 P16'
_space_group_name_H-M_alt 'F -4 3 m'
_space_group_IT_number 216
_space_group_name_Hall 'F -4 2 3'
_cell_length_a 7.223
_cell_length_b 7.223
_cell_length_c 7.223
_cell_angle_alpha 90.00
_cell_angle_beta 90.00
_cell_angle_gamma 90.00
loop_
_atom_site_label
_atom_site_fract_x
_atom_site_fract_y
_atom_site_fract_z
Zr1 0.000 0.000 0.000
Al1 0.250 0.250 0.250
P1 0.126 0.126 0.626
```

## Properties
Spin magnetization in μB per formula unit: 0.00
D(E_F) in states/eV/cell: 17.0
Formation energy from the elements in eV/f.u.: 1.07

---

The following is a DFT calculation (PBE) of a relaxed ZrAlP2 crystal.

Structure (CIF):
```
data_ZrAlP2
_chemical_formula_sum 'Zr3 Al3 P6'
_space_group_name_H-M_alt 'R 3 m'
_space_group_IT_number 160
_space_group_name_Hall 'R 3 -2"'
_cell_length_a 3.8304
_cell_length_b 3.8304
_cell_length_c 20.5721
_cell_angle_alpha 90.00
_cell_angle_beta 90.00
_cell_angle_gamma 120.00
loop_
_atom_site_label
_atom_site_fract_x
_atom_site_fract_y
_atom_site_fract_z
Zr1 0.0000 0.0000 0.0000
Al1 0.0000 0.0000 0.7666
P1 0.0000 0.0000 0.2703
P2 0.0000 0.0000 0.4647
```

## Properties
Spin magnetization in μB per formula unit: 0.00
D(E_F) in states/eV/cell: 4.4
Formation energy from the elements in eV/f.u.: -1.15